{
  "formula": "TmScAg2O4",
  "functional": "PBE-GGA",
  "state": "relaxed",
  "lattice_angstrom": [[3.295, 0.000, 0.000], [-1.648, 2.854, 0.000], [0.000, 0.000, 12.495]],
  "species": ["Ag", "Ag", "O", "O", "O", "O", "Sc", "Tm"],
  "fractional_positions": [[0.333, 0.667, 0.245], [0.667, 0.333, 0.755], [0.333, 0.667, 0.079], [0.333, 0.667, 0.412], [0.667, 0.333, 0.588], [0.667, 0.333, 0.921], [0.000, 0.000, 0.000], [0.000, 0.000, 0.500]],
  "vol_a3_per_atom": 14.69,
  "e_tot_ev_per_cell": -54.54
}